No. 1
This record from the Alexandria database describes Be3MoBr after structural relaxation. The functional is PBE.

The space group is Pm-3m (No. 221) and the conventional cell measures 4.206, 4.206 and 4.206 Å, with angles of 90.00, 90.00 and 90.00 degrees. The distinct sites, in fractional coordinates, are Be at (0.000, 0.000, 0.500), Mo at (0.500, 0.500, 0.500) and Br at (0.000, 0.000, 0.000).

The value obtained for the uncorrected formation energy is 1.67 eV/atom. The polymorph energy (0 for the lowest one) comes out at 114 meV/atom. The value obtained for the total magnetization is 0.167 μB per atom.

***

No. 2
This record from the Alexandria database describes Be2MoBr after structural relaxation. The functional is PBE.

The space group is P4mm (No. 99) and the conventional cell measures 2.947, 2.947 and 7.647 Å, with angles of 90.00, 90.00 and 90.00 degrees. The distinct sites, in fractional coordinates, are Be at (0.000, 0.000, 0.000), Be at (0.500, 0.500, 0.116), Mo at (0.500, 0.500, 0.796) and Br at (0.000, 0.000, 0.570).

The value obtained for the uncorrected formation energy is 0.58 eV/atom. The polymorph energy (0 for the lowest one) comes out at 329 meV/atom. The value obtained for the total magnetization is 0.131 μB per atom.

***

No. 3
This record from the Alexandria database describes Be2MoBr after structural relaxation. The functional is PBE.

The space group is Cm (No. 8) and the conventional cell measures 6.045, 3.489 and 5.812 Å, with angles of 90.00, 90.17 and 90.00 degrees. The distinct sites, in fractional coordinates, are Be at (0.000, 0.000, 0.000), Be at (0.167, 0.500, 0.038), Mo at (0.334, 0.000, 0.247) and Br at (0.001, 0.000, 0.581).

The value obtained for the uncorrected formation energy is 0.25 eV/atom. The polymorph energy (0 for the lowest one) comes out at 0 meV/atom. The value obtained for the total magnetization is 0.001 μB per atom.

***

No. 4
This record from the Alexandria database describes Be2MoBr after structural relaxation. The functional is PBE.

The space group is F-43m (No. 216) and the conventional cell measures 6.054, 6.054 and 6.054 Å, with angles of 90.00, 90.00 and 90.00 degrees. The distinct sites, in fractional coordinates, are Be at (0.000, 0.000, 0.000), Be at (0.250, 0.250, 0.250), Mo at (0.250, 0.250, 0.750) and Br at (0.000, 0.000, 0.500).

The value obtained for the uncorrected formation energy is 1.08 eV/atom. The polymorph energy (0 for the lowest one) comes out at 831 meV/atom. The value obtained for the total magnetization is 0.001 μB per atom.

***

No. 5
This record from the Alexandria database describes Be2MoBr after structural relaxation. The functional is PBE.

The space group is P4/mmm (No. 123) and the conventional cell measures 4.274, 4.274 and 3.006 Å, with angles of 90.00, 90.00 and 90.00 degrees. The distinct sites, in fractional coordinates, are Be at (0.000, 0.500, 0.000), Mo at (0.000, 0.000, 0.500) and Br at (0.500, 0.500, 0.500).

The value obtained for the uncorrected formation energy is 0.77 eV/atom. The polymorph energy (0 for the lowest one) comes out at 525 meV/atom. The value obtained for the total magnetization is 0.002 μB per atom.

***

No. 6
This record from the Alexandria database describes Be2MoBr after structural relaxation. The functional is PBE.

The space group is Pm (No. 6) and the conventional cell measures 3.249, 3.289 and 6.087 Å, with angles of 90.00, 105.33 and 90.00 degrees. The distinct sites, in fractional coordinates, are Be at (0.000, 0.000, 0.000), Be at (0.115, 0.500, 0.237), Mo at (0.458, 0.500, 0.915) and Br at (0.278, 0.000, 0.539).

The value obtained for the uncorrected formation energy is 0.47 eV/atom. The polymorph energy (0 for the lowest one) comes out at 221 meV/atom. The value obtained for the total magnetization is 0.015 μB per atom.

***

No. 7
This record from the Alexandria database describes Be2MoBr2 after structural relaxation. The functional is PBE.

The space group is I4/mmm (No. 139) and the conventional cell measures 4.930, 4.930 and 6.859 Å, with angles of 90.00, 90.00 and 90.00 degrees. The distinct sites, in fractional coordinates, are Be at (0.000, 0.000, 0.150), Mo at (0.000, 0.000, 0.500) and Br at (0.000, 0.500, 0.250).

The value obtained for the uncorrected formation energy is 1.00 eV/atom. The polymorph energy (0 for the lowest one) comes out at 131 meV/atom. The value obtained for the total magnetization is 0.107 μB per atom.

***

No. 8
This record from the Alexandria database describes BeMo3Br after structural relaxation. The functional is PBE.

The space group is Pm-3m (No. 221) and the conventional cell measures 4.350, 4.350 and 4.350 Å, with angles of 90.00, 90.00 and 90.00 degrees. The distinct sites, in fractional coordinates, are Be at (0.000, 0.000, 0.000), Mo at (0.000, 0.000, 0.500) and Br at (0.500, 0.500, 0.500).

The value obtained for the uncorrected formation energy is 1.31 eV/atom. The polymorph energy (0 for the lowest one) comes out at 0 meV/atom. The value obtained for the total magnetization is 0.000 μB per atom.

***

No. 9
This record from the Alexandria database describes Be4MoBr after structural relaxation. The functional is PBE.

The space group is F-43m (No. 216) and the conventional cell measures 6.449, 6.449 and 6.449 Å, with angles of 90.00, 90.00 and 90.00 degrees. The distinct sites, in fractional coordinates, are Be at (0.118, 0.118, 0.382), Mo at (0.250, 0.250, 0.750) and Br at (0.000, 0.000, 0.000).

The value obtained for the uncorrected formation energy is 0.44 eV/atom. The value obtained for the total magnetization is 0.000 μB per atom.

***

No. 10
This record from the Alexandria database describes Be2MoBr after structural relaxation. The functional is PBE.

The space group is C2/m (No. 12) and the conventional cell measures 8.177, 3.255 and 4.845 Å, with angles of 90.00, 93.78 and 90.00 degrees. The distinct sites, in fractional coordinates, are Be at (0.204, 0.000, 0.389), Mo at (0.000, 0.500, 0.500) and Br at (0.000, 0.000, 0.000).

The value obtained for the uncorrected formation energy is 0.71 eV/atom. The polymorph energy (0 for the lowest one) comes out at 463 meV/atom. The value obtained for the total magnetization is 0.000 μB per atom.

***

No. 11
This record from the Alexandria database describes Be2MoBr after structural relaxation. The functional is PBE.

The space group is I-42d (No. 122) and the conventional cell measures 6.576, 6.576 and 5.244 Å, with angles of 90.00, 90.00 and 90.00 degrees. The distinct sites, in fractional coordinates, are Be at (0.241, 0.250, 0.125), Mo at (0.000, 0.000, 0.500) and Br at (0.000, 0.000, 0.000).

The value obtained for the uncorrected formation energy is 0.95 eV/atom. The polymorph energy (0 for the lowest one) comes out at 701 meV/atom. The value obtained for the total magnetization is 0.000 μB per atom.

***

No. 12
This record from the Alexandria database describes Be2MoBr after structural relaxation. The functional is PBE.

The space group is Imm2 (No. 44) and the conventional cell measures 3.012, 4.417 and 7.989 Å, with angles of 90.00, 90.00 and 90.00 degrees. The distinct sites, in fractional coordinates, are Be at (0.000, 0.000, 0.000), Be at (0.000, 0.500, 0.300), Mo at (0.000, 0.000, 0.538) and Br at (0.000, 0.500, 0.754).

The value obtained for the uncorrected formation energy is 0.72 eV/atom. The polymorph energy (0 for the lowest one) comes out at 471 meV/atom. The value obtained for the total magnetization is 0.000 μB per atom.